(1)
This record from the Alexandria database describes a relaxed BaCuSi2 crystal. The functional is GGA-PBE.

abc: 4.3559 4.3559 4.7192
angles: 90.00 90.00 90.00
Positions (direct):
1 Ba 0.0000 0.0000 0.0000
2 Cu 0.5000 0.5000 0.0000
3 Si 0.0000 0.5000 0.5000
4 Si 0.5000 0.0000 0.5000

Values from the calculation:
**Space group**: P4/mmm (123)

***

(2)
This record from the Alexandria database describes a relaxed Hf6SnN2 crystal. The functional is GGA-PBE.

abc: 8.3090 8.3090 6.1612
angles: 106.37 106.37 64.84
Positions (direct):
1 Hf 0.1244 0.2475 0.1779
2 Hf 0.1520 0.6546 0.5241
3 Hf 0.2475 0.1244 0.6779
4 Hf 0.2754 0.5014 0.0199
5 Hf 0.3454 0.8480 0.9759
6 Hf 0.4986 0.7246 0.4801
7 Hf 0.5014 0.2754 0.5199
8 Hf 0.6546 0.1520 0.0241
9 Hf 0.7246 0.4986 0.9801
10 Hf 0.7525 0.8756 0.3221
11 Hf 0.8480 0.3454 0.4759
12 Hf 0.8756 0.7525 0.8221
13 Sn 0.0710 0.9290 0.2500
14 Sn 0.9290 0.0710 0.7500
15 N 0.2698 0.4142 0.3058
16 N 0.4142 0.2698 0.8058
17 N 0.5858 0.7302 0.1942
18 N 0.7302 0.5858 0.6942

Values from the calculation:
**Space group**: C2/c (15)

***

no.,uncorrected formation energy (eV/atom),DFT total energy (eV/atom)
1,0.47,-3.751
2,-0.56,-9.486